P.
MgTc2Au | PBE | optimized geometry

a b c (Å): 2.6782 2.6782 8.9468
angles (deg): 90.00 90.00 90.00
With the nearest neighbours (Å) after each atom.
Element x y z (fractional)
1 Mg 0.0000 0.0000 0.0000  4 Mg 2.68, 8 Tc 2.92
2 Tc 0.5000 0.5000 0.2485  4 Tc 2.68, 4 Mg 2.92, 4 Au 2.94
3 Tc 0.5000 0.5000 0.7515  4 Tc 2.68, 4 Mg 2.92, 4 Au 2.94
4 Au 0.0000 0.0000 0.5000  4 Au 2.68, 8 Tc 2.94

Results
N(E_F)   3.830 states/eV per cell
Space group   No. 123

***

Q.
MgTc2Au | PBE | optimized geometry

a b c (Å): 5.3975 5.3975 2.6957
angles (deg): 98.33 98.33 121.54
With the nearest neighbours (Å) after each atom.
Element x y z (fractional)
1 Mg 0.0000 0.0000 0.0000  2 Au 2.64, 2 Mg 2.70, 4 Tc 2.84
2 Tc 0.0000 0.5000 0.5000  4 Tc 2.64-2.70, 2 Mg 2.84, 2 Au 2.84
3 Tc 0.5000 0.0000 0.5000  4 Tc 2.64-2.70, 2 Mg 2.84, 2 Au 2.84
4 Au 0.5000 0.5000 0.0000  2 Mg 2.64, 2 Au 2.70, 4 Tc 2.84

Results
N(E_F)   3.231 states/eV per cell
Space group   No. 12

***

It is Q that is most stable; the runner-up trails by 104 meV/atom.

***

P.
MgTc2Au | PBE | optimized geometry

a b c (Å): 5.1433 5.1433 2.7600
angles (deg): 90.00 90.00 119.12
With the nearest neighbours (Å) after each atom.
Element x y z (fractional)
1 Mg 0.0000 0.0000 0.0000  2 Au 2.61, 2 Mg 2.76
2 Tc 0.0000 0.5000 0.5000  4 Tc 2.61-2.76
3 Tc 0.5000 0.0000 0.5000  4 Tc 2.61-2.76
4 Au 0.5000 0.5000 0.0000  2 Mg 2.61, 2 Au 2.76

Results
N(E_F)   5.141 states/eV per cell
Space group   No. 65

***

Q.
MgTc2Au | PBE | optimized geometry

a b c (Å): 2.8744 3.8310 5.8828
angles (deg): 90.00 90.00 90.00
With the nearest neighbours (Å) after each atom.
Element x y z (fractional)
1 Mg 0.0000 0.0000 0.0000  4 Au 2.74, 5 Tc 2.77-2.94, 2 Mg 2.87
2 Tc 0.0000 0.0000 0.4710  6 Tc 2.62-2.87, 1 Mg 2.77
3 Tc 0.5000 0.5000 0.2911  6 Tc 2.62-2.87, 1 Au 2.83
4 Au 0.5000 0.5000 0.7728  4 Mg 2.74, 6 Tc 2.83-3.05, 2 Au 2.87

Results
N(E_F)   4.095 states/eV per cell
Space group   No. 25

***

It is Q that is most stable; the runner-up trails by 217 meV/atom.